Here is crystalline KTb3F10 at its relaxed geometry from the Alexandria database. Energies are from PBEsol.

Unit cell a=8.156 b=8.156 c=8.156 alpha=60.00 beta=60.00 gamma=60.00
Element x y z (fractional)
K 0.250 0.250 0.250
K 0.750 0.750 0.750
Tb 0.240 0.240 0.760
Tb 0.240 0.760 0.240
Tb 0.240 0.760 0.760
Tb 0.760 0.240 0.240
Tb 0.760 0.240 0.760
Tb 0.760 0.760 0.240
F 0.112 0.112 0.112
F 0.112 0.112 0.664
F 0.112 0.664 0.112
F 0.169 0.500 0.500
F 0.169 0.500 0.831
F 0.169 0.831 0.500
F 0.336 0.888 0.888
F 0.500 0.169 0.500
F 0.500 0.169 0.831
F 0.500 0.500 0.169
F 0.500 0.500 0.831
F 0.500 0.831 0.169
F 0.500 0.831 0.500
F 0.664 0.112 0.112
F 0.831 0.169 0.500
F 0.831 0.500 0.169
F 0.831 0.500 0.500
F 0.888 0.336 0.888
F 0.888 0.888 0.336
F 0.888 0.888 0.888

Calculated values
**VASP energy**: -6.555 eV/atom
**Energy relative to the elements, uncorrected**: -4024 meV/atom

***

Here is crystalline K2TcF6 at its relaxed geometry from the Alexandria database. Energies are from PBEsol.

Unit cell a=5.778 b=5.778 c=4.586 alpha=90.00 beta=90.00 gamma=120.00
Element x y z (fractional)
K 0.333 0.667 0.293
K 0.667 0.333 0.707
Tc 0.000 0.000 0.000
F 0.163 0.325 0.770
F 0.163 0.837 0.770
F 0.325 0.163 0.230
F 0.675 0.837 0.770
F 0.837 0.163 0.230
F 0.837 0.675 0.230

Calculated values
**VASP energy**: -5.356 eV/atom
**Energy relative to the elements, uncorrected**: -2568 meV/atom

***

Here is crystalline KTe2F2 at its relaxed geometry from the Alexandria database. Energies are from PBEsol.

Unit cell a=8.396 b=8.396 c=3.106 alpha=90.00 beta=90.00 gamma=90.00
Element x y z (fractional)
K 0.000 0.000 0.000
K 0.500 0.500 0.000
Te 0.115 0.385 0.500
Te 0.385 0.885 0.500
Te 0.615 0.115 0.500
Te 0.885 0.615 0.500
F 0.213 0.713 0.000
F 0.287 0.213 0.000
F 0.713 0.787 0.000
F 0.787 0.287 0.000

Calculated values
**VASP energy**: -3.460 eV/atom
**Relative energy among the computed polymorphs**: 78 meV/atom
**Energy relative to the elements, uncorrected**: -1052 meV/atom

***

Here is crystalline K3TeF at its relaxed geometry from the Alexandria database. Energies are from PBEsol.

Unit cell a=5.219 b=5.219 c=5.219 alpha=90.00 beta=90.00 gamma=90.00
Element x y z (fractional)
K 0.000 0.000 0.500
K 0.000 0.500 0.000
K 0.500 0.000 0.000
Te 0.500 0.500 0.500
F 0.000 0.000 0.000

Calculated values
**VASP energy**: -3.492 eV/atom
**Energy relative to the elements, uncorrected**: -1721 meV/atom

***

Here is crystalline KTeF5 at its relaxed geometry from the Alexandria database. Energies are from PBEsol.

Unit cell a=4.685 b=9.188 c=11.354 alpha=90.00 beta=90.00 gamma=90.00
Element x y z (fractional)
K 0.004 0.250 0.000
K 0.004 0.250 0.500
K 0.996 0.750 0.000
K 0.996 0.750 0.500
Te 0.373 0.563 0.250
Te 0.373 0.937 0.750
Te 0.627 0.063 0.250
Te 0.627 0.437 0.750
F 0.086 0.711 0.250
F 0.086 0.789 0.750
F 0.112 0.012 0.626
F 0.112 0.012 0.874
F 0.112 0.488 0.126
F 0.112 0.488 0.374
F 0.480 0.196 0.126
F 0.480 0.196 0.374
F 0.480 0.304 0.626
F 0.480 0.304 0.874
F 0.520 0.696 0.126
F 0.520 0.696 0.374
F 0.520 0.804 0.626
F 0.520 0.804 0.874
F 0.888 0.512 0.626
F 0.888 0.512 0.874
F 0.888 0.988 0.126
F 0.888 0.988 0.374
F 0.914 0.211 0.250
F 0.914 0.289 0.750

Calculated values
**VASP energy**: -4.485 eV/atom
**Energy relative to the elements, uncorrected**: -2442 meV/atom

***

Here is crystalline KTe2F2 at its relaxed geometry from the Alexandria database. Energies are from PBEsol.

Unit cell a=7.594 b=7.594 c=7.594 alpha=148.82 beta=148.82 gamma=44.67
Element x y z (fractional)
K 0.000 0.000 0.000
Te 0.250 0.750 0.500
Te 0.750 0.250 0.500
F 0.396 0.396 0.000
F 0.604 0.604 0.000

Calculated values
**VASP energy**: -3.538 eV/atom
**Relative energy among the computed polymorphs**: 0 meV/atom
**Energy relative to the elements, uncorrected**: -1130 meV/atom

***

Here is crystalline KTh2F9 at its relaxed geometry from the Alexandria database. Energies are from PBEsol.

Unit cell a=8.804 b=11.639 c=7.123 alpha=90.00 beta=90.00 gamma=90.00
Element x y z (fractional)
K 0.034 0.250 0.146
K 0.466 0.750 0.646
K 0.534 0.250 0.354
K 0.966 0.750 0.854
Th 0.175 0.050 0.654
Th 0.175 0.450 0.654
Th 0.325 0.550 0.154
Th 0.325 0.950 0.154
Th 0.675 0.050 0.846
Th 0.675 0.450 0.846
Th 0.825 0.550 0.346
Th 0.825 0.950 0.346
F 0.004 0.599 0.577
F 0.004 0.901 0.577
F 0.065 0.580 0.199
F 0.065 0.920 0.199
F 0.175 0.250 0.664
F 0.208 0.097 0.974
F 0.208 0.403 0.974
F 0.215 0.607 0.858
F 0.215 0.893 0.858
F 0.285 0.107 0.358
F 0.285 0.393 0.358
F 0.292 0.597 0.474
F 0.292 0.903 0.474
F 0.325 0.750 0.164
F 0.435 0.080 0.699
F 0.435 0.420 0.699
F 0.496 0.099 0.077
F 0.496 0.401 0.077
F 0.504 0.599 0.923
F 0.504 0.901 0.923
F 0.565 0.580 0.301
F 0.565 0.920 0.301
F 0.675 0.250 0.836
F 0.708 0.097 0.526
F 0.708 0.403 0.526
F 0.715 0.607 0.642
F 0.715 0.893 0.642
F 0.785 0.107 0.142
F 0.785 0.393 0.142
F 0.792 0.597 0.026
F 0.792 0.903 0.026
F 0.825 0.750 0.336
F 0.935 0.080 0.801
F 0.935 0.420 0.801
F 0.996 0.099 0.423
F 0.996 0.401 0.423

Calculated values
**VASP energy**: -6.884 eV/atom
**Energy relative to the elements, uncorrected**: -3993 meV/atom

***

Here is crystalline K2ThF6 at its relaxed geometry from the Alexandria database. Energies are from PBEsol.

Unit cell a=7.232 b=7.232 c=7.232 alpha=146.84 beta=130.30 gamma=61.06
Element x y z (fractional)
K 0.170 0.170 0.000
K 0.830 0.830 0.000
Th 0.500 0.500 0.000
F 0.130 0.357 0.773
F 0.294 0.000 0.294
F 0.416 0.643 0.773
F 0.584 0.357 0.227
F 0.706 0.000 0.706
F 0.870 0.643 0.227

Calculated values
**VASP energy**: -6.068 eV/atom
**Energy relative to the elements, uncorrected**: -3630 meV/atom

***

Here is crystalline K2ThF6 at its relaxed geometry from the Alexandria database. Energies are from PBEsol.

Unit cell a=6.547 b=6.547 c=3.794 alpha=90.00 beta=90.00 gamma=120.00
Element x y z (fractional)
K 0.333 0.667 0.000
K 0.667 0.333 0.000
Th 0.000 0.000 0.500
F 0.000 0.230 0.000
F 0.000 0.652 0.500
F 0.230 0.000 0.000
F 0.348 0.348 0.500
F 0.652 0.000 0.500
F 0.770 0.770 0.000

Calculated values
**VASP energy**: -6.074 eV/atom
**Energy relative to the elements, uncorrected**: -3637 meV/atom

***

Here is crystalline K3TiF6 at its relaxed geometry from the Alexandria database. Energies are from PBEsol.

Unit cell a=6.250 b=6.250 c=6.250 alpha=60.00 beta=60.00 gamma=60.00
Element x y z (fractional)
K 0.000 0.000 0.000
K 0.250 0.250 0.250
K 0.750 0.750 0.750
Ti 0.500 0.500 0.500
F 0.278 0.278 0.722
F 0.278 0.722 0.278
F 0.278 0.722 0.722
F 0.722 0.278 0.278
F 0.722 0.278 0.722
F 0.722 0.722 0.278

Calculated values
**VASP energy**: -5.347 eV/atom
**Energy relative to the elements, uncorrected**: -3018 meV/atom

***

Here is crystalline KTlF3 at its relaxed geometry from the Alexandria database. Energies are from PBEsol.

Unit cell a=6.633 b=6.633 c=6.633 alpha=60.00 beta=60.00 gamma=60.00
Element x y z (fractional)
K 0.250 0.250 0.250
K 0.750 0.750 0.750
Tl 0.000 0.000 0.000
Tl 0.500 0.500 0.500
F 0.232 0.232 0.768
F 0.232 0.768 0.232
F 0.232 0.768 0.768
F 0.768 0.232 0.232
F 0.768 0.232 0.768
F 0.768 0.768 0.232

Calculated values
**VASP energy**: -4.071 eV/atom
**Energy relative to the elements, uncorrected**: -2162 meV/atom

***

Here is crystalline KTlF2 at its relaxed geometry from the Alexandria database. Energies are from PBEsol.

Unit cell a=7.222 b=7.222 c=7.222 alpha=131.53 beta=131.53 gamma=70.97
Element x y z (fractional)
K 0.000 0.000 0.000
K 0.750 0.250 0.500
Tl 0.250 0.750 0.500
Tl 0.500 0.500 0.000
F 0.119 0.625 0.994
F 0.375 0.369 0.494
F 0.631 0.125 0.006
F 0.875 0.881 0.506

Calculated values
**VASP energy**: -4.020 eV/atom
**Energy relative to the elements, uncorrected**: -2115 meV/atom